An optimized crystal structure of Ti2SeBr2, computed with PBE-GGA.

abc: 6.759 6.759 5.032
angles: 90.00 90.00 90.00
Element x y z (fractional)
Ti: 0.162 0.338 0.000
Ti: 0.338 0.838 0.000
Ti: 0.662 0.162 0.000
Ti: 0.838 0.662 0.000
Se: 0.000 0.000 0.000
Se: 0.500 0.500 0.000
Br: 0.174 0.326 0.500
Br: 0.326 0.826 0.500
Br: 0.674 0.174 0.500
Br: 0.826 0.674 0.500

Results
V, Å³ per cell: 229.9
Crystal system: tetragonal
Raw formation energy, eV/atom: -0.6163